First-principles (PBE) data for Mg2FeTc after structural relaxation, as listed in Alexandria via LeMat-Bulk.

Properties
**ΔE_f**: 322 meV/atom
**Total energy**: -5.182 eV/atom
**ΔE to the lowest computed polymorph**: 225 meV/atom

```
data_Mg2FeTc
_cell_length_a 2.8009
_cell_length_b 2.8009
_cell_length_c 27.6222
_cell_angle_alpha 90.00
_cell_angle_beta 90.00
_cell_angle_gamma 120.00
_symmetry_space_group_name_H-M 'R -3 m'
_symmetry_Int_Tables_number 166
_symmetry_space_group_name_Hall '-R 3 2"'
loop_
_atom_site_label
_atom_site_type_symbol
_atom_site_fract_x
_atom_site_fract_y
_atom_site_fract_z
Mg1 Mg 0.0000 0.0000 0.2481
Fe1 Fe 0.0000 0.0000 0.5000
Tc1 Tc 0.0000 0.0000 0.0000
```